Here is an optimized crystal structure of NdGdOsPd from Alexandria via LeMat-Bulk. Energies are from PBE-GGA.

The space group is F-43m. The calculation puts the formation energy from the elements at -386 meV per atom. As for the total moment: 7.08 μB/f.u.

Unit cell a=4.9837 b=4.9837 c=4.9837 alpha=60.00 beta=60.00 gamma=60.00
Positions (direct):
Nd  0.0000  0.0000  0.0000
Gd  0.5000  0.5000  0.5000
Os  0.7500  0.7500  0.7500
Pd  0.2500  0.2500  0.2500